(1)
{"formula": "TcPtBr", "functional": "PBE", "state": "relaxed", "lattice": [[4.141, 0.000, 0.000], [-2.071, 3.586, 0.000], [0.000, 0.000, 3.502]], "species": ["Pt", "Tc", "Br"], "frac_coords": [[0.667, 0.333, 0.334], [0.333, 0.667, 0.738], [0.000, 0.000, 0.928]], "volume_a3_per_atom": 17.338, "raw_formation_energy_ev_per_atom": 0.80, "e_tot_ev_per_cell": -15.693, "crystal_system": "trigonal"}


(2)
{"formula": "SrPrInCu", "functional": "PBE", "state": "relaxed", "lattice": [[5.458, 0.000, 0.000], [2.729, 4.727, 0.000], [2.729, 1.576, 4.456]], "species": ["Pr", "In", "Cu", "Sr"], "frac_coords": [[0.000, 0.000, 0.000], [0.750, 0.750, 0.750], [0.250, 0.250, 0.250], [0.500, 0.500, 0.500]], "volume_a3_per_atom": 28.744, "e_tot_ev_per_cell": -14.054, "crystal_system": "cubic", "formation_energy_kj_per_mol_atoms": -18.3}


(3)
{"formula": "Ba2MgTlPt", "functional": "PBE", "state": "relaxed", "lattice": [[6.144, 0.000, 0.000], [0.000, 6.144, 0.000], [0.000, 0.000, 5.118]], "species": ["Ba", "Ba", "Pt", "Tl", "Mg"], "frac_coords": [[0.000, 0.500, 0.000], [0.500, 0.000, 0.000], [0.000, 0.000, 0.000], [0.500, 0.500, 0.500], [0.000, 0.000, 0.500]], "volume_a3_per_atom": 38.632, "e_tot_ev_per_cell": -16.021, "crystal_system": "tetragonal", "formation_energy_kj_per_mol_atoms": -41.9}


(4)
{"formula": "NdReBrO4", "functional": "PBE", "state": "relaxed", "lattice": [[-3.553, -1.467, 5.326], [-0.400, -6.474, 1.035], [5.046, -1.063, 4.949]], "species": ["O", "O", "O", "O", "O", "O", "O", "O", "Re", "Re", "Nd", "Nd", "Br", "Br"], "frac_coords": [[0.128, 0.479, 0.143], [0.479, 0.128, 0.143], [0.706, 0.706, 0.472], [0.294, 0.294, 0.528], [0.465, 0.465, 0.787], [0.872, 0.521, 0.857], [0.535, 0.535, 0.213], [0.521, 0.872, 0.857], [0.369, 0.369, 0.278], [0.631, 0.631, 0.722], [0.226, 0.226, 0.891], [0.774, 0.774, 0.109], [0.990, 0.990, 0.754], [0.010, 0.010, 0.246]], "volume_a3_per_atom": 19.689, "raw_formation_energy_ev_per_atom": -2.06, "e_tot_ev_per_cell": -106.272, "crystal_system": "monoclinic"}


(5)
{"formula": "PmDyYCd", "functional": "PBE", "state": "relaxed", "lattice": [[5.495, 0.000, 0.000], [2.747, 4.759, 0.000], [2.747, 1.586, 4.487]], "species": ["Cd", "Y", "Pm", "Dy"], "frac_coords": [[0.500, 0.500, 0.500], [0.250, 0.250, 0.250], [0.750, 0.750, 0.750], [0.000, 0.000, 0.000]], "volume_a3_per_atom": 29.330, "e_tot_ev_per_cell": -16.848, "crystal_system": "cubic", "formation_energy_kj_per_mol_atoms": -2.8}


(6)
{"formula": "ErCuAu", "functional": "PBE", "state": "relaxed", "lattice": [[3.389, 0.000, 0.000], [0.000, 4.491, 0.000], [0.000, -2.245, 3.889]], "species": ["Er", "Au", "Cu"], "frac_coords": [[0.667, 0.667, 0.333], [0.167, 0.333, 0.667], [0.167, 0.000, 0.000]], "volume_a3_per_atom": 19.733, "e_tot_ev_per_cell": -13.631, "crystal_system": "hexagonal", "formation_energy_kj_per_mol_atoms": -54.5}


What is the formula in the fourth record? NdReBrO4